## A
Below is SmErIn4 after structural relaxation, with properties calculated at the PBE level.

Output
Its density of states at the Fermi level is 0.6335 states/eV per atom. Its density is 7.91 Mg/m³.

Unit cell a=10.4584 b=18.1030 c=3.4467 alpha=90.00 beta=90.00 gamma=90.00
Element x y z (fractional)
Sm 0.0778 0.1338 0.0000
Sm 0.4222 0.6338 0.0000
Sm 0.5778 0.3662 0.0000
Sm 0.9222 0.8662 0.0000
Er 0.1175 0.4268 0.0000
Er 0.3825 0.9268 0.0000
Er 0.6175 0.0732 0.0000
Er 0.8825 0.5732 0.0000
In 0.0209 0.2875 0.5000
In 0.1309 0.9725 0.5000
In 0.1551 0.5827 0.5000
In 0.1995 0.8098 0.5000
In 0.3005 0.3098 0.5000
In 0.3449 0.0827 0.5000
In 0.3691 0.4725 0.5000
In 0.4791 0.7875 0.5000
In 0.5209 0.2125 0.5000
In 0.6309 0.5275 0.5000
In 0.6551 0.9173 0.5000
In 0.6995 0.6902 0.5000
In 0.8005 0.1902 0.5000
In 0.8449 0.4173 0.5000
In 0.8691 0.0275 0.5000
In 0.9791 0.7125 0.5000

***

## B
Below is SmErIn4 after structural relaxation, with properties calculated at the PBE level.

Output
Its density of states at the Fermi level is 0.6889 states/eV per atom. Its density is 8.39 Mg/m³.

Unit cell a=6.0125 b=6.0125 c=6.0125 alpha=60.00 beta=60.00 gamma=60.00
Element x y z (fractional)
Sm 0.0000 0.0000 0.0000
Er 0.7500 0.7500 0.7500
In 0.3750 0.3750 0.3750
In 0.3750 0.3750 0.8749
In 0.3750 0.8749 0.3750
In 0.8749 0.3750 0.3750

***

Stability order, top to bottom: B, A

***

## A
Below is SmEr4In2 after structural relaxation, with properties calculated at the PBE level.

Output
Its density of states at the Fermi level is 1.2061 states/eV per atom. Its density is 8.25 Mg/m³.

Unit cell a=6.3964 b=10.7375 c=6.7608 alpha=90.00 beta=114.54 gamma=90.00
Element x y z (fractional)
Sm 0.0000 0.0000 0.0000
Sm 0.0000 0.5000 0.5000
Er 0.0031 0.1689 0.4999
Er 0.0031 0.3311 0.9999
Er 0.4963 0.7225 0.4992
Er 0.4963 0.7775 0.9992
Er 0.5037 0.2225 0.0008
Er 0.5037 0.2775 0.5008
Er 0.9970 0.6689 0.0001
Er 0.9970 0.8311 0.5001
In 0.4463 0.5006 0.1896
In 0.4463 0.9994 0.6896
In 0.5537 0.0006 0.3104
In 0.5537 0.4994 0.8104

***

## B
Below is SmEr4In2 after structural relaxation, with properties calculated at the PBE level.

Output
Its density of states at the Fermi level is 1.3965 states/eV per atom. Its density is 8.16 Mg/m³.

Unit cell a=9.2565 b=9.2565 c=4.9858 alpha=90.00 beta=90.00 gamma=90.00
Element x y z (fractional)
Sm 0.0000 0.0000 0.0000
Sm 0.5000 0.5000 0.5000
Er 0.1114 0.3599 0.5000
Er 0.1401 0.6114 0.0000
Er 0.3599 0.1114 0.5000
Er 0.3886 0.8599 0.0000
Er 0.6114 0.1401 0.0000
Er 0.6401 0.8886 0.5000
Er 0.8599 0.3886 0.0000
Er 0.8886 0.6401 0.5000
In 0.1847 0.8153 0.5000
In 0.3153 0.3153 0.0000
In 0.6847 0.6847 0.0000
In 0.8153 0.1847 0.5000

***

Stability order, top to bottom: B, A

***

## A
Below is Sm3Er2In2 after structural relaxation, with properties calculated at the PBE level.

Output
Its density of states at the Fermi level is 1.2141 states/eV per atom. Its density is 8.12 Mg/m³.

Unit cell a=16.8173 b=3.4903 c=7.9873 alpha=90.00 beta=117.65 gamma=90.00
Element x y z (fractional)
Sm 0.0000 0.0000 0.0000
Sm 0.2108 0.0000 0.1319
Sm 0.2892 0.5000 0.8681
Sm 0.5000 0.5000 0.0000
Sm 0.7108 0.5000 0.1319
Sm 0.7892 0.0000 0.8681
Er 0.1314 0.0000 0.4696
Er 0.3686 0.5000 0.5304
Er 0.6314 0.5000 0.4696
Er 0.8686 0.0000 0.5304
In 0.0666 0.5000 0.7325
In 0.4334 0.0000 0.2675
In 0.5666 0.0000 0.7325
In 0.9334 0.5000 0.2675

***

## B
Below is Sm3Er2In2 after structural relaxation, with properties calculated at the PBE level.

Output
Its density of states at the Fermi level is 1.1477 states/eV per atom. Its density is 8.18 Mg/m³.

Unit cell a=4.9719 b=23.7104 c=3.4982 alpha=90.00 beta=90.00 gamma=90.00
Element x y z (fractional)
Sm 0.0000 0.0000 0.0000
Sm 0.0000 0.1434 0.0000
Sm 0.0000 0.8566 0.0000
Sm 0.5000 0.3566 0.0000
Sm 0.5000 0.5000 0.0000
Sm 0.5000 0.6434 0.0000
Er 0.0000 0.2870 0.5000
Er 0.0000 0.7130 0.5000
Er 0.5000 0.2130 0.5000
Er 0.5000 0.7870 0.5000
In 0.0000 0.4286 0.5000
In 0.0000 0.5714 0.5000
In 0.5000 0.0714 0.5000
In 0.5000 0.9286 0.5000

***

Stability order, top to bottom: B, A

***

## A
Below is Sm4Er3In after structural relaxation, with properties calculated at the PBE level.

Output
Its density of states at the Fermi level is 1.4529 states/eV per atom. Its density is 8.19 Mg/m³.

Unit cell a=10.0259 b=6.9858 c=7.0477 alpha=90.00 beta=90.00 gamma=90.00
Element x y z (fractional)
Sm 0.0000 0.0001 0.0000
Sm 0.0000 0.4992 0.5007
Sm 0.2495 0.7483 0.2505
Sm 0.2505 0.2517 0.7505
Sm 0.5000 0.9999 0.5000
Sm 0.5000 0.5008 0.0007
Sm 0.7495 0.2517 0.7505
Sm 0.7505 0.7483 0.2505
Er 0.0000 0.4998 0.0003
Er 0.2500 0.2440 0.2505
Er 0.2500 0.7560 0.7505
Er 0.5000 0.5002 0.5003
Er 0.7500 0.2440 0.2505
Er 0.7500 0.7560 0.7505
In 0.0000 0.0000 0.5003
In 0.5000 0.0000 0.0003

***

## B
Below is Sm4Er3In after structural relaxation, with properties calculated at the PBE level.

Output
Its density of states at the Fermi level is 1.3185 states/eV per atom. Its density is 8.19 Mg/m³.

Unit cell a=11.2396 b=7.0975 c=6.1942 alpha=90.00 beta=90.00 gamma=90.00
Element x y z (fractional)
Sm 0.0000 0.1296 0.0000
Sm 0.0000 0.8666 0.4517
Sm 0.2319 0.8679 0.8182
Sm 0.2681 0.1321 0.3182
Sm 0.5000 0.1334 0.9517
Sm 0.5000 0.8704 0.5000
Sm 0.7319 0.1321 0.3182
Sm 0.7681 0.8679 0.8182
Er 0.0000 0.3718 0.4774
Er 0.2461 0.3841 0.7988
Er 0.2539 0.6159 0.2988
Er 0.5000 0.6282 0.9774
Er 0.7461 0.6159 0.2988
Er 0.7539 0.3841 0.7988
In 0.0000 0.6082 0.9790
In 0.5000 0.3918 0.4790

***

Stability order, top to bottom: B, A

***

## A
Below is SmErTmIn after structural relaxation, with properties calculated at the PBE level.

Output
Its density of states at the Fermi level is 1.6521 states/eV per atom. Its density is 8.74 Mg/m³.

Unit cell a=7.7019 b=7.7019 c=7.7019 alpha=90.00 beta=90.00 gamma=90.00
Element x y z (fractional)
Sm 0.0000 0.0000 0.0000
Sm 0.0000 0.5000 0.5000
Sm 0.5000 0.0000 0.5000
Sm 0.5000 0.5000 0.0000
Er 0.0000 0.0000 0.5000
Er 0.0000 0.5000 0.0000
Er 0.5000 0.0000 0.0000
Er 0.5000 0.5000 0.5000
Tm 0.2500 0.2500 0.7500
Tm 0.2500 0.7500 0.2500
Tm 0.7500 0.2500 0.2500
Tm 0.7500 0.7500 0.7500
In 0.2500 0.2500 0.2500
In 0.2500 0.7500 0.7500
In 0.7500 0.2500 0.7500
In 0.7500 0.7500 0.2500

***

## B
Below is SmErTmIn after structural relaxation, with properties calculated at the PBE level.

Output
Its density of states at the Fermi level is 1.4231 states/eV per atom. Its density is 8.79 Mg/m³.

Unit cell a=7.6890 b=7.6890 c=7.6890 alpha=90.00 beta=90.00 gamma=90.00
Element x y z (fractional)
Sm 0.0000 0.0000 0.0000
Sm 0.0000 0.5000 0.5000
Sm 0.5000 0.0000 0.5000
Sm 0.5000 0.5000 0.0000
Er 0.2500 0.2500 0.2500
Er 0.2500 0.7500 0.7500
Er 0.7500 0.2500 0.7500
Er 0.7500 0.7500 0.2500
Tm 0.2500 0.2500 0.7500
Tm 0.2500 0.7500 0.2500
Tm 0.7500 0.2500 0.2500
Tm 0.7500 0.7500 0.7500
In 0.0000 0.0000 0.5000
In 0.0000 0.5000 0.0000
In 0.5000 0.0000 0.0000
In 0.5000 0.5000 0.5000

***

Stability order, top to bottom: A, B

***

## A
Below is Er6In5Sn after structural relaxation, with properties calculated at the PBE level.

Output
Its density of states at the Fermi level is 0.6603 states/eV per atom. Its density is 9.07 Mg/m³.

Unit cell a=8.8530 b=8.8530 c=8.8530 alpha=147.72 beta=121.84 gamma=68.10
Element x y z (fractional)
Er 0.0821 0.3341 0.7480
Er 0.2464 0.0000 0.2464
Er 0.4139 0.6659 0.7480
Er 0.5861 0.3341 0.2520
Er 0.7536 0.0000 0.7536
Er 0.9179 0.6659 0.2520
In 0.1717 0.1717 0.0000
In 0.3343 0.8343 0.5000
In 0.5000 0.5000 0.0000
In 0.6657 0.1657 0.5000
In 0.8283 0.8283 0.0000
Sn 0.0000 0.5000 0.5000

***

## B
Below is Er6In5Sn after structural relaxation, with properties calculated at the PBE level.

Output
Its density of states at the Fermi level is 0.5087 states/eV per atom. Its density is 8.43 Mg/m³.

Unit cell a=6.2811 b=6.2811 c=9.8704 alpha=95.72 beta=95.72 gamma=118.90
Element x y z (fractional)
Er 0.0839 0.4163 0.7501
Er 0.2471 0.2471 0.2499
Er 0.4163 0.0839 0.7501
Er 0.5837 0.9161 0.2499
Er 0.7529 0.7529 0.7501
Er 0.9161 0.5837 0.2499
In 0.1678 0.8322 0.0000
In 0.3335 0.6665 0.5000
In 0.5000 0.5000 0.0000
In 0.6665 0.3335 0.5000
In 0.8322 0.1678 0.0000
Sn 0.0000 0.0000 0.5000

***

Stability order, top to bottom: A, B

***

## A
Below is ErInSn2 after structural relaxation, with properties calculated at the PBE level.

Output
Its density of states at the Fermi level is 0.3681 states/eV per atom. Its density is 8.48 Mg/m³.

Unit cell a=4.5434 b=4.5434 c=9.8609 alpha=90.00 beta=90.00 gamma=90.00
Element x y z (fractional)
Er 0.0000 0.0000 0.0000
Er 0.5000 0.5000 0.5000
In 0.0000 0.0000 0.5000
In 0.5000 0.5000 0.0000
Sn 0.0000 0.5000 0.2500
Sn 0.0000 0.5000 0.7500
Sn 0.5000 0.0000 0.2500
Sn 0.5000 0.0000 0.7500

***

## B
Below is ErInSn2 after structural relaxation, with properties calculated at the PBE level.

Output
Its density of states at the Fermi level is 0.6902 states/eV per atom. Its density is 7.95 Mg/m³.

Unit cell a=7.5711 b=7.5711 c=7.5711 alpha=90.00 beta=90.00 gamma=90.00
Element x y z (fractional)
Er 0.0000 0.0000 0.0000
Er 0.0000 0.5000 0.5000
Er 0.5000 0.0000 0.5000
Er 0.5000 0.5000 0.0000
In 0.0000 0.0000 0.5000
In 0.0000 0.5000 0.0000
In 0.5000 0.0000 0.0000
In 0.5000 0.5000 0.5000
Sn 0.2500 0.2500 0.2500
Sn 0.2500 0.2500 0.7500
Sn 0.2500 0.7500 0.2500
Sn 0.2500 0.7500 0.7500
Sn 0.7500 0.2500 0.2500
Sn 0.7500 0.2500 0.7500
Sn 0.7500 0.7500 0.2500
Sn 0.7500 0.7500 0.7500

***

## C
Below is ErInSn2 after structural relaxation, with properties calculated at the PBE level.

Output
Its density of states at the Fermi level is 0.3636 states/eV per atom. Its density is 8.46 Mg/m³.

Unit cell a=4.7235 b=4.7235 c=4.5680 alpha=90.00 beta=90.00 gamma=90.00
Element x y z (fractional)
Er 0.0000 0.0000 0.0000
In 0.5000 0.5000 0.0000
Sn 0.0000 0.5000 0.5000
Sn 0.5000 0.0000 0.5000

***

Stability order, top to bottom: C, A, B

***

## A
Below is ErInSn2 after structural relaxation, with properties calculated at the PBE level.

Output
Its density of states at the Fermi level is 0.4586 states/eV per atom. Its density is 7.38 Mg/m³.

Unit cell a=4.6238 b=4.6238 c=18.9450 alpha=90.00 beta=90.00 gamma=120.00
Element x y z (fractional)
Er 0.0000 0.0000 0.0000
Er 0.3333 0.6667 0.6667
Er 0.6667 0.3333 0.3333
In 0.0000 0.0000 0.8264
In 0.3333 0.6667 0.4931
In 0.6667 0.3333 0.1597
Sn 0.0000 0.0000 0.4148
Sn 0.0000 0.0000 0.5806
Sn 0.3333 0.6667 0.0814
Sn 0.3333 0.6667 0.2473
Sn 0.6667 0.3333 0.7481
Sn 0.6667 0.3333 0.9140

***

## B
Below is ErInSn2 after structural relaxation, with properties calculated at the PBE level.

Output
Its density of states at the Fermi level is 0.4107 states/eV per atom. Its density is 8.12 Mg/m³.

Unit cell a=4.1057 b=4.1057 c=6.3044 alpha=90.00 beta=90.00 gamma=90.00
Element x y z (fractional)
Er 0.0000 0.0000 0.0000
In 0.0000 0.0000 0.5000
Sn 0.5000 0.5000 0.2420
Sn 0.5000 0.5000 0.7580

***

Stability order, top to bottom: B, A

***

## A
Below is Tb3ErIn2 after structural relaxation, with properties calculated at the PBE level.

Output
Its density of states at the Fermi level is 0.9280 states/eV per atom. Its density is 8.47 Mg/m³.

Unit cell a=5.1931 b=9.8290 c=6.7150 alpha=90.00 beta=90.00 gamma=90.00
Element x y z (fractional)
Tb 0.0000 0.0354 0.0000
Tb 0.0000 0.3216 0.3463
Tb 0.0000 0.6784 0.8463
Tb 0.0000 0.9646 0.5000
Tb 0.5000 0.1820 0.7226
Tb 0.5000 0.8180 0.2226
Er 0.5000 0.4633 0.0679
Er 0.5000 0.5367 0.5679
In 0.0000 0.3572 0.8252
In 0.0000 0.6428 0.3252
In 0.5000 0.1435 0.2445
In 0.5000 0.8565 0.7445

***

## B
Below is Tb3ErIn2 after structural relaxation, with properties calculated at the PBE level.

Output
Its density of states at the Fermi level is 1.3139 states/eV per atom. Its density is 8.07 Mg/m³.

Unit cell a=3.3926 b=5.6769 c=18.6752 alpha=90.00 beta=90.00 gamma=90.00
Element x y z (fractional)
Tb 0.0000 0.0000 0.0000
Tb 0.0000 0.5000 0.1847
Tb 0.0000 0.5000 0.8153
Tb 0.5000 0.0000 0.3153
Tb 0.5000 0.0000 0.6847
Tb 0.5000 0.5000 0.5000
Er 0.0000 0.5000 0.0000
Er 0.5000 0.0000 0.5000
In 0.0000 0.5000 0.3533
In 0.0000 0.5000 0.6467
In 0.5000 0.0000 0.1467
In 0.5000 0.0000 0.8533

***

Stability order, top to bottom: A, B

***

## A
Below is Tb4ErIn3 after structural relaxation, with properties calculated at the PBE level.

Output
Its density of states at the Fermi level is 0.9944 states/eV per atom. Its density is 8.09 Mg/m³.

Unit cell a=3.5260 b=8.8766 c=15.0540 alpha=90.00 beta=90.00 gamma=90.00
Element x y z (fractional)
Tb 0.0000 0.1990 0.1386
Tb 0.0000 0.1990 0.8614
Tb 0.0000 0.8010 0.1386
Tb 0.0000 0.8010 0.8614
Tb 0.5000 0.3010 0.3614
Tb 0.5000 0.3010 0.6386
Tb 0.5000 0.6990 0.3614
Tb 0.5000 0.6990 0.6386
Er 0.0000 0.5000 0.0000
Er 0.5000 0.0000 0.5000
In 0.0000 0.0000 0.3164
In 0.0000 0.0000 0.6836
In 0.0000 0.5000 0.5000
In 0.5000 0.0000 0.0000
In 0.5000 0.5000 0.1836
In 0.5000 0.5000 0.8164

***

## B
Below is Tb4ErIn3 after structural relaxation, with properties calculated at the PBE level.

Output
Its density of states at the Fermi level is 1.3320 states/eV per atom. Its density is 8.46 Mg/m³.

Unit cell a=9.5319 b=9.5319 c=9.5319 alpha=32.74 beta=32.74 gamma=32.74
Element x y z (fractional)
Tb 0.1158 0.1158 0.1158
Tb 0.3703 0.3703 0.3703
Tb 0.6297 0.6297 0.6297
Tb 0.8842 0.8842 0.8842
Er 0.5000 0.5000 0.5000
In 0.0000 0.0000 0.0000
In 0.2385 0.2385 0.2385
In 0.7615 0.7615 0.7615

***

Stability order, top to bottom: B, A

***

## A
Below is TbErIn after structural relaxation, with properties calculated at the PBE level.

Output
Its density of states at the Fermi level is 1.2688 states/eV per atom. Its density is 8.28 Mg/m³.

Unit cell a=4.6170 b=4.6170 c=8.2971 alpha=90.00 beta=90.00 gamma=90.00
Element x y z (fractional)
Tb 0.2500 0.2500 0.1489
Tb 0.7500 0.7500 0.8511
Er 0.2500 0.7500 0.5000
Er 0.7500 0.2500 0.5000
In 0.2500 0.2500 0.7690
In 0.7500 0.7500 0.2310

***

## B
Below is TbErIn after structural relaxation, with properties calculated at the PBE level.

Output
Its density of states at the Fermi level is 1.0232 states/eV per atom. Its density is 8.57 Mg/m³.

Unit cell a=3.5324 b=3.5324 c=13.7023 alpha=90.00 beta=90.00 gamma=90.00
Element x y z (fractional)
Tb 0.0000 0.0000 0.0000
Tb 0.5000 0.5000 0.5000
Er 0.0000 0.0000 0.3123
Er 0.5000 0.5000 0.8123
In 0.0000 0.0000 0.6581
In 0.5000 0.5000 0.1581

***

Stability order, top to bottom: B, A